# 1
Density functional theory data (PBE-GGA) for a relaxed structure of ZnBPtC2.

Calculated values
DOS(E_F) in states/eV per atom: 0.479
Mass density in Mg/m³: 5.7
Crystal system: tetragonal
Size of the total moment in Bohr magnetons per cell: 0.31
Energy of formation in eV per atom: 2.17

Lattice parameters (Å, degrees): 3.8001 3.8001 5.9938 90.00 90.00 90.00
Space group P4/mmm (No. 123)
Symmetry-distinct sites (fractional):
Zn  0.0000  0.0000  0.0000 x1
B  0.5000  0.5000  0.0000 x1
Pt  0.0000  0.0000  0.5000 x1
C  0.0000  0.5000  0.5000 x2

***

# 2
Density functional theory data (PBE-GGA) for a relaxed structure of CuAu.

Calculated values
DOS(E_F) in states/eV per atom: 0.256
Mass density in Mg/m³: 14.4
Crystal system: monoclinic
Size of the total moment in Bohr magnetons per cell: 0.00
Energy of formation in eV per atom: -0.03

Lattice parameters (Å, degrees): 9.5423 2.9506 4.5208 90.00 108.69 90.00
Space group C2/m (No. 12)
Symmetry-distinct sites (fractional):
Cu  0.1382  0.0000  0.3532 x4
Au  0.1132  0.5000  0.8336 x4

***

# 3
Density functional theory data (PBE-GGA) for a relaxed structure of RbZr2Ru.

Calculated values
DOS(E_F) in states/eV per atom: 1.318
Mass density in Mg/m³: 3.8
Crystal system: tetragonal
Size of the total moment in Bohr magnetons per cell: 0.00
Energy above the most stable polymorph in this dataset in meV/atom: 200.2
Energy of formation in eV per atom: 1.06

Lattice parameters (Å, degrees): 6.6092 6.6092 14.6987 90.00 90.00 90.00
Space group I4_1/amd (No. 141, origin choice 2)
Symmetry-distinct sites (fractional):
Rb  0.0000  0.2500  0.3750 x4
Zr  0.0000  0.0000  0.0000 x8
Ru  0.0000  0.2500  0.8750 x4

***

# 4
Density functional theory data (PBE-GGA) for a relaxed structure of Be2Cd2GaPd5.

Calculated values
DOS(E_F) in states/eV per atom: 0.397
Mass density in Mg/m³: 9.5
Crystal system: tetragonal
Size of the total moment in Bohr magnetons per cell: 0.00
Energy of formation in eV per atom: -0.49

Lattice parameters (Å, degrees): 9.5871 9.5871 3.1984 90.00 90.00 90.00
Space group P4/mbm (No. 127)
Symmetry-distinct sites (fractional):
Be  0.1250  0.3750  0.0000 x4
Cd  0.1746  0.6746  0.0000 x4
Ga  0.0000  0.0000  0.0000 x2
Pd  0.0000  0.5000  0.5000 x2
Pd  0.0711  0.2065  0.5000 x8

***

# 5
Density functional theory data (PBE-GGA) for a relaxed structure of KSnBW2.

Calculated values
DOS(E_F) in states/eV per atom: 0.414
Mass density in Mg/m³: 9.3
Crystal system: tetragonal
Size of the total moment in Bohr magnetons per cell: 0.00
Energy of formation in eV per atom: 1.22

Lattice parameters (Å, degrees): 4.3719 4.3719 5.0121 90.00 90.00 90.00
Space group P4/mmm (No. 123)
Symmetry-distinct sites (fractional):
K  0.0000  0.0000  0.0000 x1
Sn  0.5000  0.5000  0.0000 x1
B  0.5000  0.5000  0.5000 x1
W  0.0000  0.5000  0.5000 x2

***

# 6
Density functional theory data (PBE-GGA) for a relaxed structure of CaMnInNi2.

Calculated values
DOS(E_F) in states/eV per atom: 0.888
Mass density in Mg/m³: 5.2
Crystal system: tetragonal
Size of the total moment in Bohr magnetons per cell: 3.71
Energy of formation in eV per atom: 1.32

Lattice parameters (Å, degrees): 4.6012 4.6012 4.9206 90.00 90.00 90.00
Space group P4/mmm (No. 123)
Symmetry-distinct sites (fractional):
Ca  0.0000  0.0000  0.0000 x1
Mn  0.0000  0.0000  0.5000 x1
In  0.5000  0.5000  0.5000 x1
Ni  0.0000  0.5000  0.0000 x2

***

# 7
Density functional theory data (PBE-GGA) for a relaxed structure of ZrOs2F.

Calculated values
DOS(E_F) in states/eV per atom: 1.287
Mass density in Mg/m³: 12.9
Crystal system: cubic
Size of the total moment in Bohr magnetons per cell: 0.00
Energy above the most stable polymorph in this dataset in meV/atom: 707.6
Uncorrected formation energy in eV per atom: 0.512

Lattice parameters (Å, degrees): 6.3242 6.3242 6.3242 90.00 90.00 90.00
Space group Fm-3m (No. 225)
Symmetry-distinct sites (fractional):
Zr  0.0000  0.0000  0.0000 x4
Os  0.2500  0.2500  0.2500 x8
F  0.0000  0.0000  0.5000 x4

***

# 8
Density functional theory data (PBE-GGA) for a relaxed structure of Ce5ThC4.

Calculated values
DOS(E_F) in states/eV per atom: 1.590
Mass density in Mg/m³: 7.7
Crystal system: monoclinic
Size of the total moment in Bohr magnetons per cell: 3.55
Energy of formation in eV per atom: -0.14

Lattice parameters (Å, degrees): 15.9587 3.6216 7.4713 90.00 102.43 90.00
Space group C2/m (No. 12)
Symmetry-distinct sites (fractional):
Ce  0.0000  0.0000  0.0000 x2
Ce  0.1628  0.5000  0.8080 x4
Ce  0.1660  0.5000  0.3443 x4
Th  0.0000  0.0000  0.5000 x2
C  0.0077  0.5000  0.7659 x4
C  0.1711  0.0000  0.5817 x4

***

# 9
Density functional theory data (PBE-GGA) for a relaxed structure of SmErTmTl.

Calculated values
DOS(E_F) in states/eV per atom: 1.245
Mass density in Mg/m³: 10.1
Crystal system: orthorhombic
Size of the total moment in Bohr magnetons per cell: 0.75
Energy above the most stable polymorph in this dataset in meV/atom: 0.0
Energy of formation in eV per atom: -0.17

Lattice parameters (Å, degrees): 4.8141 4.8652 4.8724 90.00 90.00 90.00
Space group Pmmm (No. 47)
Symmetry-distinct sites (fractional):
Sm  0.0000  0.0000  0.0000 x1
Er  0.5000  0.5000  0.0000 x1
Tm  0.5000  0.0000  0.5000 x1
Tl  0.0000  0.5000  0.5000 x1

***

# 10
Density functional theory data (PBE-GGA) for a relaxed structure of ZnB3O.

Calculated values
DOS(E_F) in states/eV per atom: 0.330
Mass density in Mg/m³: 3.1
Crystal system: cubic
Size of the total moment in Bohr magnetons per cell: 0.00
Energy above the most stable polymorph in this dataset in meV/atom: 425.5
Uncorrected formation energy in eV per atom: 2.104

Lattice parameters (Å, degrees): 3.9293 3.9293 3.9293 90.00 90.00 90.00
Space group Pm-3m (No. 221)
Symmetry-distinct sites (fractional):
Zn  0.0000  0.0000  0.0000 x1
B  0.0000  0.0000  0.5000 x3
O  0.5000  0.5000  0.5000 x1

***

# 11
Density functional theory data (PBE-GGA) for a relaxed structure of RbGaF3.

Calculated values
DOS(E_F) in states/eV per atom: 0.000
Mass density in Mg/m³: 3.5
Crystal system: monoclinic
Size of the total moment in Bohr magnetons per cell: 0.00
Uncorrected formation energy in eV per atom: -2.522

Lattice parameters (Å, degrees): 11.4727 9.9980 7.1093 90.00 94.13 90.00
Space group C2/c (No. 15)
Symmetry-distinct sites (fractional):
Rb  0.1848  0.1161  0.2633 x8
Ga  0.0000  0.2475  0.7500 x4
Ga  0.0000  0.4246  0.2500 x4
F  0.0865  0.4067  0.8809 x8
F  0.0943  0.1236  0.8928 x8
F  0.1116  0.2607  0.5666 x8

***

# 12
Density functional theory data (PBE-GGA) for a relaxed structure of ErIn3Pd4.

Calculated values
DOS(E_F) in states/eV per atom: 0.429
Mass density in Mg/m³: 10.4
Crystal system: tetragonal
Size of the total moment in Bohr magnetons per cell: 0.00
Energy of formation in eV per atom: -0.66

Lattice parameters (Å, degrees): 4.6779 4.6779 6.8195 90.00 90.00 90.00
Space group P4/mmm (No. 123)
Symmetry-distinct sites (fractional):
Er  0.0000  0.0000  0.0000 x1
In  0.0000  0.0000  0.5000 x1
In  0.5000  0.5000  0.0000 x1
In  0.5000  0.5000  0.5000 x1
Pd  0.0000  0.5000  0.2601 x4

***

> size of the total moment of number 1 (ZnBPtC2)?

0.31 Bohr magnetons per cell

***

> Among the records above, which one has the highest size of the total moment?

CaMnInNi2